Entry from Alexandria via LeMat-Bulk: a relaxed structure of MnCuO4 (PBE with a Hubbard U).

abc: 5.8445 5.8812 7.8305
angles: 90.00 90.00 90.00
Last column: nearest neighbours and their distance in Å.
Space group Imma (No. 74)
Asymmetric unit:
Mn1 0.0000 0.0000 0.0000  6 O 1.87-1.94
Cu1 0.0000 0.2500 0.3834  4 O 1.85-1.90
O1 0.0000 0.0008 0.2391  1 Cu 1.85, 1 Mn 1.87
O2 0.2163 0.2500 0.9991  1 Cu 1.90, 2 Mn 1.94

Calculated values
DOS at the Fermi energy = 0.33 states/eV per atom
electronic total energy = -138.625 eV per cell